A plane-wave DFT calculation with PBE with a Hubbard U was carried out for In2PbWO8 after structural relaxation.

Cell and atoms, written as CIF:
```
data_In2PbWO8
_symmetry_space_group_name_H-M 'C m m m'
_symmetry_Int_Tables_number 65
_symmetry_space_group_name_Hall '-C 2 2'
_cell_length_a 6.797
_cell_length_b 7.057
_cell_length_c 6.679
_cell_angle_alpha 90.00
_cell_angle_beta 90.00
_cell_angle_gamma 90.00
loop_
_atom_site_label
_atom_site_fract_x
_atom_site_fract_y
_atom_site_fract_z
In1 0.000 0.000 0.243
Pb1 0.000 0.500 0.500
W1 0.000 0.500 0.000
O1 0.000 0.313 0.218
O2 0.194 0.000 0.500
O3 0.212 0.000 0.000
```

Computed properties:
raw total energy = -6.179 eV per atom